First-principles (PBE-GGA) data for an optimized crystal structure of Ca2UGa3Pt4, as listed in the Alexandria database.

a = 4.286 Å, b = 4.286 Å, c = 11.301 Å
α = 90.00°, β = 90.00°, γ = 90.00°
Space group P-4m2 (No. 115)
Asymmetric unit:
Ca 0.000 0.500 0.227 (multiplicity 2)
U 0.000 0.000 0.500 (multiplicity 1)
Ga 0.000 0.500 0.876 (multiplicity 2)
Ga 0.500 0.500 0.500 (multiplicity 1)
Pt 0.000 0.000 0.000 (multiplicity 1)
Pt 0.000 0.500 0.656 (multiplicity 2)
Pt 0.500 0.500 0.000 (multiplicity 1)

- energy of formation from the pure elements (eV/atom) = -0.74
- crystal system = tetragonal
- E (eV per atom) = -5.59
- mass density (g/cm3) = 10.46

First-principles (PBE-GGA) data for an optimized crystal structure of Rb2TmMgF6, as listed in the Alexandria database.

a = 5.933 Å, b = 6.442 Å, c = 8.657 Å
α = 90.00°, β = 90.00°, γ = 90.00°
Space group Immm (No. 71)
Asymmetric unit:
Rb 0.000 0.000 0.246 (multiplicity 4)
Tm 0.000 0.500 0.000 (multiplicity 2)
Mg 0.000 0.500 0.500 (multiplicity 2)
F 0.000 0.500 0.254 (multiplicity 4)
F 0.242 0.221 0.000 (multiplicity 8)

- E_form (uncorrected) (eV/atom) = -3.14
- crystal system = orthorhombic
- E (eV per atom) = -5.06
- mass density (g/cm3) = 4.80